Below is Cd3ReB after structural relaxation, with properties calculated at the PBE level.

The structure in POSCAR format:
```
Cd3ReB
1.0
5.226 0.000 0.000
0.000 5.226 0.000
0.000 0.000 5.226
Cd Re B
3 1 1
Cartesian
0.000 0.000 2.613
0.000 2.613 0.000
2.613 0.000 0.000
0.000 0.000 0.000
2.613 2.613 2.613
```

Calculated values
E_form ... 9.75 eV/f.u.
Offset from the most stable computed form ... 631.2 meV/atom
E_tot ... -2.425 eV per atom
Symmetry ... No. 221



Below is TaMn2Ni after structural relaxation, with properties calculated at the PBE level.

The structure in POSCAR format:
```
TaMn2Ni
1.0
0.000 2.984 2.984
2.984 0.000 2.984
2.984 2.984 0.000
Ta Mn Ni
1 2 1
Cartesian
0.000 0.000 0.000
1.492 1.492 1.492
4.476 4.476 4.476
2.984 2.984 2.984
```

Calculated values
E_form ... -0.10 eV/f.u.
Offset from the most stable computed form ... 25.5 meV/atom
E_tot ... -9.019 eV per atom
Symmetry ... No. 225